A plane-wave DFT calculation with PBE was carried out for Re2HgW after structural relaxation.

Summary:
Total DFT energy (no corrections), eV per atom: -8.956
ρ, kg/m3: 18918
Spin magnetization, μB/atom: 0.000

Geometry as extended XYZ:
```
8
Lattice="9.467 0.000 0.000 0.000 2.908 0.000 -1.003 0.000 4.826" Properties=species:S:1:pos:R:3 pbc="T T T"
Re 2.020 0.000 1.055
Re 1.711 1.454 3.771
Re 6.753 1.454 1.055
Re 6.444 0.000 3.771
Hg -0.501 0.000 2.413
Hg 4.232 1.454 2.413
W 0.000 1.454 0.000
W 4.733 0.000 0.000
```

A plane-wave DFT calculation with PBE was carried out for Na2LiSb after structural relaxation.

Summary:
E_form (uncorrected), kJ per mole of atoms: -45
ρ, kg/m3: 3087
Spin magnetization, μB/atom: 0.000

Geometry as extended XYZ:
```
8
Lattice="5.109 0.000 0.000 0.000 5.109 0.000 0.000 0.000 7.201" Properties=species:S:1:pos:R:3 pbc="T T T"
Na 0.000 0.000 0.000
Na 0.000 2.554 1.800
Na 2.554 0.000 5.401
Na 2.554 2.554 3.601
Li 0.000 0.000 3.601
Li 2.554 2.554 0.000
Sb 0.000 2.554 5.401
Sb 2.554 0.000 1.800
```

A plane-wave DFT calculation with PBE was carried out for Nd4SiHgTe2 after structural relaxation.

Summary:
E_form (uncorrected), kJ per mole of atoms: -96
ρ, kg/m3: 7121
Spin magnetization, μB/atom: 0.000

Geometry as extended XYZ:
```
8
Lattice="7.633 0.000 0.000 0.000 4.365 0.000 -2.436 0.000 7.424" Properties=species:S:1:pos:R:3 pbc="T T T"
Nd 1.196 0.000 1.703
Nd -0.020 2.183 5.614
Nd 5.217 2.183 1.810
Nd 4.001 0.000 5.721
Si 0.000 2.183 0.000
Hg 3.816 0.000 0.000
Te -1.218 0.000 3.712
Te 2.599 2.183 3.712
```

> Which value of spin magnetization does entry 1 give?

0.000 μB/atom